Entry 1:
A plane-wave DFT calculation with PBE-GGA was carried out for a relaxed La4Ag2Sb crystal. Values from VASP.

```
&SYSTEM
  ibrav = 0, nat = 7, ntyp = 3
/
ATOMIC_SPECIES
Ag 107.87 Ag.upf
La 138.91 La.upf
Sb 121.76 Sb.upf
CELL_PARAMETERS angstrom
5.1495 0.0000 1.6088
2.3234 4.5956 1.6088
-0.0761 -0.0468 9.2894
ATOMIC_POSITIONS crystal
Ag 0.2484 0.2484 0.2547
Ag 0.7516 0.7516 0.7453
La 0.8713 0.8713 0.3861
La 0.3797 0.3797 0.8609
La 0.1287 0.1287 0.6139
La 0.6203 0.6203 0.1391
Sb 0.0000 0.0000 0.0000
```

Entry 2:
A plane-wave DFT calculation with PBE-GGA was carried out for a relaxed TcBP2O crystal. Values from VASP.

E above lowest polymorph in eV per atom: 0.544

```
&SYSTEM
  ibrav = 0, nat = 5, ntyp = 4
/
ATOMIC_SPECIES
B 10.81 B.upf
O 16.00 O.upf
P 30.97 P.upf
Tc 98.00 Tc.upf
CELL_PARAMETERS angstrom
4.7142 0.0000 0.0000
0.0000 4.7142 0.0000
0.0000 0.0000 3.6637
ATOMIC_POSITIONS crystal
B 0.5000 0.5000 0.5000
O 0.0000 0.0000 0.5000
P 0.0000 0.5000 0.0000
P 0.5000 0.0000 0.0000
Tc 0.0000 0.0000 0.0000
```

Entry 3:
A plane-wave DFT calculation with PBE-GGA was carried out for a relaxed Cd4ReBr crystal. Values from VASP.

```
&SYSTEM
  ibrav = 0, nat = 6, ntyp = 3
/
ATOMIC_SPECIES
Cd 112.41 Cd.upf
Br 79.90 Br.upf
Re 186.21 Re.upf
CELL_PARAMETERS angstrom
-4.5484 -1.7735 -2.8775
-5.1982 1.3742 1.7897
-3.1190 3.7098 -2.9363
ATOMIC_POSITIONS crystal
Cd 0.3762 0.3762 0.8714
Cd 0.8714 0.3762 0.3762
Cd 0.3762 0.3762 0.3762
Cd 0.3762 0.8714 0.3762
Br 0.0000 0.0000 0.0000
Re 0.7500 0.7500 0.7500
```

| no. | ΔE_f (raw) (eV per formula unit) | magnetization (μB/f.u.) |
| --- | --- | --- |
| 1 | -2.481 | 1.75 |
| 2 | 3.864 | 0.00 |
| 3 | 5.010 | 0.00 |